Computed, not measured: an optimized crystal structure of Pr8Ga2Tc at the PBE level of DFT.

a = 18.314 Å, b = 5.165 Å, c = 7.114 Å
α = 90.00°, β = 102.82°, γ = 90.00°
Space group C2/m (No. 12)
Symmetry-distinct sites (fractional):
Pr1 0.021 0.000 0.282
Pr2 0.092 0.500 0.947
Pr3 0.156 0.500 0.460
Pr4 0.204 0.000 0.800
Ga1 0.189 0.000 0.225
Tc1 0.000 0.500 0.500

## Properties
- energy of formation (eV/atom) = -0.16
- density of states at the Fermi level (states/eV per cell) = 21.23
- uncorrected energy (Ha/atom) = -0.188
- volume (Å³/atom) = 29.82